(1)
The following is a DFT calculation (PBE) of a relaxed Sr4ZnPt crystal.

a = 6.748 Å, b = 6.748 Å, c = 6.748 Å
α = 60.00°, β = 60.00°, γ = 60.00°
Fractional positions:
1 Sr 0.376 0.376 0.376
2 Sr 0.376 0.376 0.873
3 Sr 0.376 0.873 0.376
4 Sr 0.873 0.376 0.376
5 Zn 0.000 0.000 0.000
6 Pt 0.750 0.750 0.750

The calculated formation energy is 645 meV/atom. The distance to the lowest polymorph of the same formula is 966 meV per atom. Its space group is No. 216.


(2)
The following is a DFT calculation (PBE) of a relaxed SrZn2Pt2 crystal.

a = 4.320 Å, b = 4.320 Å, c = 10.701 Å
α = 90.00°, β = 90.00°, γ = 90.00°
Fractional positions:
1 Sr 0.250 0.250 0.244
2 Sr 0.750 0.750 0.756
3 Zn 0.250 0.250 0.870
4 Zn 0.250 0.750 0.500
5 Zn 0.750 0.250 0.500
6 Zn 0.750 0.750 0.130
7 Pt 0.250 0.250 0.633
8 Pt 0.250 0.750 0.000
9 Pt 0.750 0.250 0.000
10 Pt 0.750 0.750 0.367

The calculated formation energy is -689 meV/atom. The distance to the lowest polymorph of the same formula is 0 meV per atom. Its space group is No. 129.


(3)
The following is a DFT calculation (PBE) of a relaxed SrZn4Pt4 crystal.

a = 6.000 Å, b = 6.000 Å, c = 9.039 Å
α = 90.00°, β = 90.00°, γ = 90.00°
Fractional positions:
1 Sr 0.250 0.750 0.250
2 Sr 0.750 0.250 0.750
3 Zn 0.040 0.250 0.052
4 Zn 0.250 0.040 0.552
5 Zn 0.250 0.460 0.552
6 Zn 0.460 0.250 0.052
7 Zn 0.540 0.750 0.948
8 Zn 0.750 0.540 0.448
9 Zn 0.750 0.960 0.448
10 Zn 0.960 0.750 0.948
11 Pt 0.023 0.250 0.346
12 Pt 0.250 0.023 0.846
13 Pt 0.250 0.477 0.846
14 Pt 0.477 0.250 0.346
15 Pt 0.523 0.750 0.654
16 Pt 0.750 0.523 0.154
17 Pt 0.750 0.977 0.154
18 Pt 0.977 0.750 0.654

The calculated formation energy is -580 meV/atom. Its space group is No. 137.


(4)
The following is a DFT calculation (PBE) of a relaxed Sr3Zn7Pt4 crystal.

a = 8.380 Å, b = 8.380 Å, c = 9.704 Å
α = 124.38°, β = 124.38°, γ = 30.80°
Fractional positions:
1 Sr 0.000 0.000 0.000
2 Sr 0.307 0.307 0.303
3 Sr 0.693 0.693 0.697
4 Zn 0.000 0.000 0.500
5 Zn 0.152 0.152 0.417
6 Zn 0.319 0.319 0.974
7 Zn 0.499 0.499 0.723
8 Zn 0.501 0.501 0.277
9 Zn 0.681 0.681 0.026
10 Zn 0.848 0.848 0.583
11 Pt 0.113 0.113 0.826
12 Pt 0.336 0.336 0.712
13 Pt 0.664 0.664 0.288
14 Pt 0.887 0.887 0.174

The calculated formation energy is -580 meV/atom. Its space group is No. 12.


(5)
The following is a DFT calculation (PBE) of a relaxed Sr8ZnPt2 crystal.

a = 9.729 Å, b = 9.729 Å, c = 6.290 Å
α = 90.00°, β = 90.00°, γ = 120.00°
Fractional positions:
1 Sr 0.162 0.836 0.253
2 Sr 0.164 0.325 0.253
3 Sr 0.325 0.162 0.747
4 Sr 0.333 0.667 0.752
5 Sr 0.667 0.333 0.248
6 Sr 0.675 0.838 0.253
7 Sr 0.836 0.675 0.747
8 Sr 0.838 0.164 0.747
9 Zn 0.000 0.000 0.000
10 Pt 0.333 0.667 0.250
11 Pt 0.667 0.333 0.750

The calculated formation energy is -227 meV/atom. Its space group is No. 147.


(6)
The following is a DFT calculation (PBE) of a relaxed Sr2ZnPt2 crystal.

a = 5.695 Å, b = 5.695 Å, c = 5.695 Å
α = 117.02°, β = 117.02°, γ = 95.25°
Fractional positions:
1 Sr 0.250 0.750 0.500
2 Sr 0.750 0.250 0.500
3 Zn 0.000 0.000 0.000
4 Pt 0.328 0.328 0.000
5 Pt 0.672 0.672 0.000

The calculated formation energy is -583 meV/atom. Its space group is No. 139.


no.,calculated total energy (eV/atom)
1,-1.69
2,-3.95
3,-4.02
4,-3.30
5,-2.66
6,-3.93